Density functional theory data (SCAN) for a crystal of InTe2Au2 relaxed with PBEsol.

Properties
The value obtained for the spin magnetization is 0.0 Bohr magnetons per cell. The space group is I4/mmm. The calculation puts the raw formation energy at 0.124 eV/atom.

```
InTe2Au2
1.0
-2.298 2.298 6.057
2.298 -2.298 6.057
2.298 2.298 -6.057
In Te Au
1 2 2
Cartesian
0.000 0.000 0.000 In
2.298 0.000 3.028 Te
0.000 2.298 3.028 Te
0.000 0.000 4.750 Au
0.000 0.000 7.363 Au
```



Density functional theory data (SCAN) for a crystal of In2TeAu2 relaxed with PBEsol.

Properties
The value obtained for the spin magnetization is 0.0 Bohr magnetons per cell. The space group is I4/mmm. The calculation puts the raw formation energy at -0.058 eV/atom.

```
In2TeAu2
1.0
-2.148 2.148 6.211
2.148 -2.148 6.211
2.148 2.148 -6.211
In Te Au
2 1 2
Cartesian
2.148 0.000 3.106 In
0.000 2.148 3.106 In
0.000 0.000 0.000 Te
0.000 0.000 4.882 Au
0.000 0.000 7.540 Au
```



Density functional theory data (SCAN) for a crystal of ThInAu2 relaxed with PBEsol.

Properties
The value obtained for the formation energy is -0.75 eV/atom. The value obtained for the spin magnetization is 0.0 Bohr magnetons per cell. The space group is Fm-3m.

```
ThInAu2
1.0
0.000 3.531 3.531
3.531 0.000 3.531
3.531 3.531 0.000
Th In Au
1 1 2
Cartesian
0.000 0.000 0.000 Th
3.531 3.531 3.531 In
1.765 1.765 1.765 Au
5.296 5.296 5.296 Au
```



Density functional theory data (SCAN) for a crystal of TlInAu2 relaxed with PBEsol.

Properties
The value obtained for the formation energy is -0.15 eV/atom. The value obtained for the spin magnetization is 0.0 Bohr magnetons per cell. The space group is Amm2.

```
TlInAu2
1.0
4.226 0.000 0.000
0.000 1.862 5.416
0.000 -1.862 5.416
Tl In Au
1 1 2
Cartesian
0.000 0.000 0.000 Tl
2.113 0.000 3.224 In
0.000 0.000 7.989 Au
2.113 0.000 6.099 Au
```



Density functional theory data (SCAN) for a crystal of TlInAu2 relaxed with PBEsol.

Properties
The value obtained for the formation energy is -0.14 eV/atom. The value obtained for the spin magnetization is 0.0 Bohr magnetons per cell. The space group is R-3m.

```
TlInAu2
1.0
2.000 1.155 6.623
-2.000 1.155 6.623
0.000 -2.310 6.623
Tl In Au
1 1 2
Cartesian
0.000 0.000 0.000 Tl
0.000 0.000 9.934 In
0.000 0.000 4.879 Au
0.000 0.000 14.989 Au
```



Density functional theory data (SCAN) for a crystal of TlInAu2 relaxed with PBEsol.

Properties
The value obtained for the formation energy is -0.06 eV/atom. The value obtained for the spin magnetization is 0.0 Bohr magnetons per cell. The space group is Cm.

```
TlInAu2
1.0
4.534 -1.818 0.000
4.534 1.818 0.000
-1.428 0.000 5.270
Tl In Au
1 1 2
Cartesian
0.000 0.000 0.000 Tl
6.502 0.000 1.801 In
1.182 0.000 3.971 Au
3.865 0.000 2.787 Au
```



Density functional theory data (SCAN) for a crystal of TlInAu4 relaxed with PBEsol.

Properties
The value obtained for the formation energy is -0.01 eV/atom. The value obtained for the spin magnetization is 0.0 Bohr magnetons per cell. The space group is F-43m.

```
TlInAu4
1.0
0.000 3.915 3.915
3.915 0.000 3.915
3.915 3.915 0.000
Tl In Au
1 1 4
Cartesian
0.000 0.000 0.000 Tl
1.957 1.957 1.957 In
4.892 2.937 2.937 Au
2.937 4.892 2.937 Au
2.937 2.937 4.892 Au
4.892 4.892 4.892 Au
```



Density functional theory data (SCAN) for a crystal of TlIn2Au relaxed with PBEsol.

Properties
The value obtained for the formation energy is -0.07 eV/atom. The value obtained for the spin magnetization is 0.0 Bohr magnetons per cell. The space group is P4/mmm. For the polymorph energy (0 for the lowest one), the calculation gives 0.0000 eV/atom.

```
TlIn2Au
1.0
3.272 0.000 0.000
0.000 3.272 0.000
0.000 0.000 8.801
Tl In Au
1 2 1
Cartesian
0.000 0.000 0.000 Tl
1.636 1.636 2.585 In
1.636 1.636 6.216 In
0.000 0.000 4.401 Au
```



Density functional theory data (SCAN) for a crystal of TlInAu2 relaxed with PBEsol.

Properties
The value obtained for the formation energy is -0.04 eV/atom. The value obtained for the spin magnetization is 0.0 Bohr magnetons per cell. The space group is Pmm2.

```
TlInAu2
1.0
3.108 0.000 0.000
0.000 3.741 0.000
0.000 0.000 7.436
Tl In Au
1 1 2
Cartesian
0.000 0.000 0.000 Tl
1.554 1.871 4.954 In
0.000 0.000 3.359 Au
1.554 1.871 1.854 Au
```



Density functional theory data (SCAN) for a crystal of TlIn2Au relaxed with PBEsol.

Properties
The value obtained for the formation energy is 0.06 eV/atom. The value obtained for the spin magnetization is 0.0 Bohr magnetons per cell. The space group is P4/mmm. For the polymorph energy (0 for the lowest one), the calculation gives 0.1330 eV/atom.

```
TlIn2Au
1.0
4.580 0.000 0.000
0.000 4.580 0.000
0.000 0.000 4.410
Tl In Au
1 2 1
Cartesian
0.000 0.000 0.000 Tl
0.000 2.290 2.205 In
2.290 0.000 2.205 In
2.290 2.290 0.000 Au
```



Density functional theory data (SCAN) for a crystal of TlIn2Au relaxed with PBEsol.

Properties
The value obtained for the formation energy is -0.02 eV/atom. The value obtained for the spin magnetization is 0.0 Bohr magnetons per cell. The space group is P4mm. For the polymorph energy (0 for the lowest one), the calculation gives 0.0526 eV/atom.

```
TlIn2Au
1.0
3.341 0.000 0.000
0.000 3.341 0.000
0.000 0.000 8.462
Tl In Au
1 2 1
Cartesian
0.000 0.000 0.000 Tl
0.000 0.000 3.654 In
1.671 1.671 5.964 In
1.671 1.671 2.003 Au
```



Density functional theory data (SCAN) for a crystal of TlInAu2 relaxed with PBEsol.

Properties
The value obtained for the formation energy is 0.00 eV/atom. The value obtained for the spin magnetization is 0.0 Bohr magnetons per cell. The space group is P4/mmm.

```
TlInAu2
1.0
5.069 0.000 0.000
0.000 5.069 0.000
0.000 0.000 3.246
Tl In Au
1 1 2
Cartesian
0.000 0.000 0.000 Tl
2.534 2.534 0.000 In
0.000 2.534 1.623 Au
2.534 0.000 1.623 Au
```



What Fermi-level density of states values result from the calculations? In sequence: 2.08; 2.19; 1.72; 1.15; 1.36; 1.16; 3.05; 1.59; 1.05; 2.05; 1.69; 1.45 states/eV/f.u..